No. 1
Compound: Pr3Hg3Rh2
Source: the Alexandria database
Functional: PBE
Structure: relaxed

Summary:
The calculation puts the calculated volume at 24.7 Å³/atom. The formation energy from the elements comes out at -0.519 eV per atom. The polymorph energy (0 for the lowest one) is 0.0000 eV per atom. The calculated total energy comes out at -136.38 eV/cell. As for the total moment: 0.000 μB per cell. Its density of states at the Fermi level is 4.4 states/eV/f.u. Its space group is No. 62.

abc: 5.7327 7.6419 18.0217
angles: 90.00 90.00 90.00
Closest atoms and distances in Å follow each position.
Fractional positions:
Pr 0.1158 0.4580 0.3932  3 Rh 2.97-3.16, 3 Hg 3.26-3.28
Pr 0.6158 0.0420 0.6068  3 Rh 2.97-3.16, 3 Hg 3.26-3.28
Pr 0.8842 0.5420 0.8932  3 Rh 2.97-3.16, 3 Hg 3.26-3.28
Pr 0.3842 0.9580 0.1068  3 Rh 2.97-3.16, 3 Hg 3.26-3.28
Pr 0.8842 0.5420 0.6068  3 Rh 2.97-3.16, 3 Hg 3.26-3.28
Pr 0.3842 0.9580 0.3932  3 Rh 2.97-3.16, 3 Hg 3.26-3.28
Pr 0.1158 0.4580 0.1068  3 Rh 2.97-3.16, 3 Hg 3.26-3.28
Pr 0.6158 0.0420 0.8932  3 Rh 2.97-3.16, 3 Hg 3.26-3.28
Pr 0.6682 0.3410 0.2500  4 Rh 3.06-3.07, 3 Hg 3.11-3.20
Pr 0.1682 0.1590 0.7500  4 Rh 3.06-3.07, 3 Hg 3.11-3.20
Pr 0.3318 0.6590 0.7500  4 Rh 3.06-3.07, 3 Hg 3.11-3.20
Pr 0.8318 0.8410 0.2500  4 Rh 3.06-3.07, 3 Hg 3.11-3.20
Hg 0.1761 0.1712 0.2500  2 Rh 2.84, 1 Pr 3.11
Hg 0.6761 0.3288 0.7500  2 Rh 2.84, 1 Pr 3.11
Hg 0.8239 0.8288 0.7500  2 Rh 2.84, 1 Pr 3.11
Hg 0.3239 0.6712 0.2500  2 Rh 2.84, 1 Pr 3.11
Hg 0.6022 0.3198 0.4697  3 Rh 2.82-3.14
Hg 0.1022 0.1802 0.5303  3 Rh 2.82-3.14
Hg 0.3978 0.6802 0.9697  3 Rh 2.82-3.14
Hg 0.8978 0.8198 0.0303  3 Rh 2.82-3.14
Hg 0.3978 0.6802 0.5303  3 Rh 2.82-3.14
Hg 0.8978 0.8198 0.4697  3 Rh 2.82-3.14
Hg 0.6022 0.3198 0.0303  3 Rh 2.82-3.14
Hg 0.1022 0.1802 0.9697  3 Rh 2.82-3.14
Rh 0.8787 0.1158 0.3737  4 Hg 2.82-3.14, 4 Pr 2.97-3.10
Rh 0.3787 0.3842 0.6263  4 Hg 2.82-3.14, 4 Pr 2.97-3.10
Rh 0.1213 0.8842 0.8737  4 Hg 2.82-3.14, 4 Pr 2.97-3.10
Rh 0.6213 0.6158 0.1263  4 Hg 2.82-3.14, 4 Pr 2.97-3.10
Rh 0.1213 0.8842 0.6263  4 Hg 2.82-3.14, 4 Pr 2.97-3.10
Rh 0.6213 0.6158 0.3737  4 Hg 2.82-3.14, 4 Pr 2.97-3.10
Rh 0.8787 0.1158 0.1263  4 Hg 2.82-3.14, 4 Pr 2.97-3.10
Rh 0.3787 0.3842 0.8737  4 Hg 2.82-3.14, 4 Pr 2.97-3.10

=====

No. 2
Compound: P2RuW
Source: the Alexandria database
Functional: PBE
Structure: relaxed

Summary:
The calculation puts the calculated volume at 13.3 Å³/atom. The formation energy from the elements comes out at -0.180 eV per atom. The calculated total energy comes out at -33.77 eV/cell. As for the total moment: 0.000 μB per cell. Its density of states at the Fermi level is 2.7 states/eV/f.u. Its space group is No. 123.

abc: 2.9893 2.9896 5.9439
angles: 90.00 90.00 90.00
Closest atoms and distances in Å follow each position.
Fractional positions:
P 0.0000 0.0000 0.9946  4 W 2.57, 4 Ru 2.60
P 0.0000 0.0000 0.5054  4 W 2.57, 4 Ru 2.60
Ru 0.5000 0.5000 0.2500  8 P 2.60
W 0.5000 0.5000 0.7500  8 P 2.57

=====

No. 3
Compound: PrNpNi17
Source: the Alexandria database
Functional: PBE
Structure: relaxed

Summary:
The calculation puts the calculated volume at 12.7 Å³/atom. The formation energy from the elements comes out at -0.105 eV per atom. The calculated total energy comes out at -118.00 eV/cell. As for the total moment: 3.366 μB per cell. Its density of states at the Fermi level is 33.5 states/eV/f.u. Its space group is No. 160.

abc: 6.2696 6.2696 6.2696
angles: 83.09 83.09 83.09
Closest atoms and distances in Å follow each position.
Fractional positions:
Pr 0.6599 0.6599 0.6599  19 Ni 2.95-3.19
Np 0.3363 0.3363 0.3363  16 Ni 2.84-3.16
Ni 0.2929 0.0025 0.7050  8 Ni 2.37-2.53
Ni 0.7050 0.2929 0.0025  8 Ni 2.37-2.53
Ni 0.0025 0.7050 0.2929  8 Ni 2.37-2.53
Ni 0.2929 0.7050 0.0025  8 Ni 2.37-2.53
Ni 0.0025 0.2929 0.7050  8 Ni 2.37-2.53
Ni 0.7050 0.0025 0.2929  8 Ni 2.37-2.53
Ni 0.3441 0.8496 0.3441  9 Ni 2.39-2.55
Ni 0.3441 0.3441 0.8496  9 Ni 2.39-2.55
Ni 0.8496 0.3441 0.3441  9 Ni 2.39-2.55
Ni 0.6512 0.1565 0.6512  9 Ni 2.42-2.63
Ni 0.6512 0.6512 0.1565  9 Ni 2.42-2.63
Ni 0.1565 0.6512 0.6512  9 Ni 2.42-2.63
Ni 0.0003 0.4999 0.0003  10 Ni 2.37-2.55
Ni 0.0003 0.0003 0.4999  10 Ni 2.37-2.55
Ni 0.4999 0.0003 0.0003  10 Ni 2.37-2.55
Ni 0.9040 0.9040 0.9040  7 Ni 2.39-2.63
Ni 0.1017 0.1017 0.1017  7 Ni 2.39-2.55

=====

No. 4
Compound: CuTe2As
Source: the Alexandria database
Functional: PBE
Structure: relaxed

Summary:
The calculation puts the calculated volume at 29.1 Å³/atom. The calculated total energy comes out at -59.53 eV/cell. As for the total moment: 0.000 μB per cell. Its space group is No. 33.

abc: 6.6990 8.2446 8.4445
angles: 90.00 90.00 90.00
Closest atoms and distances in Å follow each position.
Fractional positions:
Cu 0.0021 0.5673 0.8684  4 Te 2.57-2.61
Cu 0.5021 0.9327 0.3684  4 Te 2.57-2.61
Cu 0.0021 0.0673 0.6316  4 Te 2.57-2.61
Cu 0.5021 0.4327 0.1316  4 Te 2.57-2.61
Te 0.3916 0.1314 0.1512  2 Cu 2.57-2.60, 1 As 2.70
Te 0.3916 0.6314 0.3488  2 Cu 2.57-2.60, 1 As 2.70
Te 0.8916 0.8686 0.8488  2 Cu 2.57-2.60, 1 As 2.70
Te 0.8916 0.3686 0.6512  2 Cu 2.57-2.60, 1 As 2.70
Te 0.8846 0.4572 0.1431  2 Cu 2.57-2.61, 2 As 2.68-2.87
Te 0.3846 0.5428 0.8569  2 Cu 2.57-2.61, 2 As 2.68-2.87
Te 0.3846 0.0428 0.6431  2 Cu 2.57-2.61, 2 As 2.68-2.87
Te 0.8846 0.9572 0.3569  2 Cu 2.57-2.61, 2 As 2.68-2.87
As 0.9948 0.6235 0.4013  3 Te 2.68-2.87
As 0.4948 0.3765 0.5987  3 Te 2.68-2.87
As 0.4948 0.8765 0.9013  3 Te 2.68-2.87
As 0.9948 0.1235 0.0987  3 Te 2.68-2.87

=====

Please write out number 3 again, unchanged.
Compound: PrNpNi17
Source: the Alexandria database
Functional: PBE
Structure: relaxed

Summary:
The calculation puts the calculated volume at 12.7 Å³/atom. The formation energy from the elements comes out at -0.105 eV per atom. The calculated total energy comes out at -118.00 eV/cell. As for the total moment: 3.366 μB per cell. Its density of states at the Fermi level is 33.5 states/eV/f.u. Its space group is No. 160.

abc: 6.2696 6.2696 6.2696
angles: 83.09 83.09 83.09
Closest atoms and distances in Å follow each position.
Fractional positions:
Pr 0.6599 0.6599 0.6599  19 Ni 2.95-3.19
Np 0.3363 0.3363 0.3363  16 Ni 2.84-3.16
Ni 0.2929 0.0025 0.7050  8 Ni 2.37-2.53
Ni 0.7050 0.2929 0.0025  8 Ni 2.37-2.53
Ni 0.0025 0.7050 0.2929  8 Ni 2.37-2.53
Ni 0.2929 0.7050 0.0025  8 Ni 2.37-2.53
Ni 0.0025 0.2929 0.7050  8 Ni 2.37-2.53
Ni 0.7050 0.0025 0.2929  8 Ni 2.37-2.53
Ni 0.3441 0.8496 0.3441  9 Ni 2.39-2.55
Ni 0.3441 0.3441 0.8496  9 Ni 2.39-2.55
Ni 0.8496 0.3441 0.3441  9 Ni 2.39-2.55
Ni 0.6512 0.1565 0.6512  9 Ni 2.42-2.63
Ni 0.6512 0.6512 0.1565  9 Ni 2.42-2.63
Ni 0.1565 0.6512 0.6512  9 Ni 2.42-2.63
Ni 0.0003 0.4999 0.0003  10 Ni 2.37-2.55
Ni 0.0003 0.0003 0.4999  10 Ni 2.37-2.55
Ni 0.4999 0.0003 0.0003  10 Ni 2.37-2.55
Ni 0.9040 0.9040 0.9040  7 Ni 2.39-2.63
Ni 0.1017 0.1017 0.1017  7 Ni 2.39-2.55

=====

Please write out number 1 again, unchanged.
Compound: Pr3Hg3Rh2
Source: the Alexandria database
Functional: PBE
Structure: relaxed

Summary:
The calculation puts the calculated volume at 24.7 Å³/atom. The formation energy from the elements comes out at -0.519 eV per atom. The polymorph energy (0 for the lowest one) is 0.0000 eV per atom. The calculated total energy comes out at -136.38 eV/cell. As for the total moment: 0.000 μB per cell. Its density of states at the Fermi level is 4.4 states/eV/f.u. Its space group is No. 62.

abc: 5.7327 7.6419 18.0217
angles: 90.00 90.00 90.00
Closest atoms and distances in Å follow each position.
Fractional positions:
Pr 0.1158 0.4580 0.3932  3 Rh 2.97-3.16, 3 Hg 3.26-3.28
Pr 0.6158 0.0420 0.6068  3 Rh 2.97-3.16, 3 Hg 3.26-3.28
Pr 0.8842 0.5420 0.8932  3 Rh 2.97-3.16, 3 Hg 3.26-3.28
Pr 0.3842 0.9580 0.1068  3 Rh 2.97-3.16, 3 Hg 3.26-3.28
Pr 0.8842 0.5420 0.6068  3 Rh 2.97-3.16, 3 Hg 3.26-3.28
Pr 0.3842 0.9580 0.3932  3 Rh 2.97-3.16, 3 Hg 3.26-3.28
Pr 0.1158 0.4580 0.1068  3 Rh 2.97-3.16, 3 Hg 3.26-3.28
Pr 0.6158 0.0420 0.8932  3 Rh 2.97-3.16, 3 Hg 3.26-3.28
Pr 0.6682 0.3410 0.2500  4 Rh 3.06-3.07, 3 Hg 3.11-3.20
Pr 0.1682 0.1590 0.7500  4 Rh 3.06-3.07, 3 Hg 3.11-3.20
Pr 0.3318 0.6590 0.7500  4 Rh 3.06-3.07, 3 Hg 3.11-3.20
Pr 0.8318 0.8410 0.2500  4 Rh 3.06-3.07, 3 Hg 3.11-3.20
Hg 0.1761 0.1712 0.2500  2 Rh 2.84, 1 Pr 3.11
Hg 0.6761 0.3288 0.7500  2 Rh 2.84, 1 Pr 3.11
Hg 0.8239 0.8288 0.7500  2 Rh 2.84, 1 Pr 3.11
Hg 0.3239 0.6712 0.2500  2 Rh 2.84, 1 Pr 3.11
Hg 0.6022 0.3198 0.4697  3 Rh 2.82-3.14
Hg 0.1022 0.1802 0.5303  3 Rh 2.82-3.14
Hg 0.3978 0.6802 0.9697  3 Rh 2.82-3.14
Hg 0.8978 0.8198 0.0303  3 Rh 2.82-3.14
Hg 0.3978 0.6802 0.5303  3 Rh 2.82-3.14
Hg 0.8978 0.8198 0.4697  3 Rh 2.82-3.14
Hg 0.6022 0.3198 0.0303  3 Rh 2.82-3.14
Hg 0.1022 0.1802 0.9697  3 Rh 2.82-3.14
Rh 0.8787 0.1158 0.3737  4 Hg 2.82-3.14, 4 Pr 2.97-3.10
Rh 0.3787 0.3842 0.6263  4 Hg 2.82-3.14, 4 Pr 2.97-3.10
Rh 0.1213 0.8842 0.8737  4 Hg 2.82-3.14, 4 Pr 2.97-3.10
Rh 0.6213 0.6158 0.1263  4 Hg 2.82-3.14, 4 Pr 2.97-3.10
Rh 0.1213 0.8842 0.6263  4 Hg 2.82-3.14, 4 Pr 2.97-3.10
Rh 0.6213 0.6158 0.3737  4 Hg 2.82-3.14, 4 Pr 2.97-3.10
Rh 0.8787 0.1158 0.1263  4 Hg 2.82-3.14, 4 Pr 2.97-3.10
Rh 0.3787 0.3842 0.8737  4 Hg 2.82-3.14, 4 Pr 2.97-3.10